[1]
Material: MgCd2Pd2
Method: DFT, PBE
State: optimized geometry

Unit cell a=6.9738 b=6.9738 c=3.8953 alpha=90.00 beta=90.00 gamma=90.00
With the nearest neighbours (Å) after each atom.
Fractional positions:
Mg 0.0000 0.0000 0.0000  4 Pd 2.69
Mg 0.5000 0.5000 0.0000  4 Pd 2.69
Pd 0.3582 0.8582 0.0000  2 Mg 2.69, 6 Cd 2.77-2.86, 1 Pd 2.80
Pd 0.8582 0.6418 0.0000  2 Mg 2.69, 6 Cd 2.77-2.86, 1 Pd 2.80
Pd 0.6418 0.1418 0.0000  2 Mg 2.69, 6 Cd 2.77-2.86, 1 Pd 2.80
Pd 0.1418 0.3582 0.0000  2 Mg 2.69, 6 Cd 2.77-2.86, 1 Pd 2.80
Cd 0.1586 0.6586 0.5000  6 Pd 2.77-2.86
Cd 0.6586 0.8414 0.5000  6 Pd 2.77-2.86
Cd 0.8414 0.3414 0.5000  6 Pd 2.77-2.86
Cd 0.3414 0.1586 0.5000  6 Pd 2.77-2.86

Properties
Spin magnetization, μB/f.u.: 0.00
Symmetry: P4/mbm (127)
Crystal system: tetragonal
Energy of formation from the pure elements, eV per atom: -0.401

[2]
Material: Ho2ErZn3
Method: DFT, PBE
State: optimized geometry

Unit cell a=5.0169 b=5.0169 c=6.1530 alpha=90.00 beta=90.00 gamma=120.00
With the nearest neighbours (Å) after each atom.
Fractional positions:
Ho 0.6667 0.3333 0.3320  8 Zn 3.07-3.08
Ho 0.3333 0.6667 0.6680  8 Zn 3.07-3.08
Er 0.0000 0.0000 0.0000  8 Zn 3.07-3.08
Zn 0.0000 0.0000 0.5000  6 Ho 3.08, 2 Er 3.08
Zn 0.6667 0.3333 0.8332  5 Ho 3.07-3.08, 3 Er 3.07
Zn 0.3333 0.6667 0.1668  5 Ho 3.07-3.08, 3 Er 3.07

Properties
Spin magnetization, μB/f.u.: 0.00
Symmetry: P-3m1 (164)
Crystal system: trigonal
Energy of formation from the pure elements, eV per atom: -0.347

[3]
Material: LiRu4Se
Method: DFT, PBE
State: optimized geometry

Unit cell a=5.1477 b=5.1477 c=5.1477 alpha=60.00 beta=60.00 gamma=60.00
With the nearest neighbours (Å) after each atom.
Fractional positions:
Li 0.0000 0.0000 0.0000  12 Ru 3.02, 4 Se 3.15
Ru 0.8740 0.3753 0.3753  6 Ru 2.57-2.58
Ru 0.3753 0.3753 0.8740  6 Ru 2.57-2.58
Ru 0.3753 0.8740 0.3753  6 Ru 2.57-2.58
Ru 0.3753 0.3753 0.3753  6 Ru 2.57-2.58
Se 0.7500 0.7500 0.7500  12 Ru 3.02, 4 Li 3.15

Properties
Spin magnetization, μB/f.u.: 2.49
VASP energy, eV/atom: -6.4669
Symmetry: F-43m (216)
Crystal system: cubic

[4]
Material: TiAsPd3
Method: DFT, PBE
State: optimized geometry

Unit cell a=4.6150 b=4.6150 c=4.6150 alpha=90.00 beta=90.00 gamma=90.00
With the nearest neighbours (Å) after each atom.
Fractional positions:
As 0.0000 0.0000 0.0000  6 Pd 2.31
Pd 0.0000 0.5000 0.0000  2 As 2.31
Pd 0.0000 0.0000 0.5000  2 As 2.31
Pd 0.5000 0.0000 0.0000  2 As 2.31
Ti 0.5000 0.5000 0.5000  12 Pd 3.26

Properties
Spin magnetization, μB/f.u.: 0.12
Symmetry: Pm-3m (221)
Crystal system: cubic
Energy of formation from the pure elements, eV per atom: 0.209

[5]
Material: PrH4Pd2Rh
Method: DFT, PBE
State: optimized geometry

Unit cell a=5.1938 b=4.8978 c=4.8978 alpha=82.77 beta=57.98 gamma=57.98
With the nearest neighbours (Å) after each atom.
Fractional positions:
Pr 0.0000 0.0000 0.0000  8 H 2.53-2.56
H 0.6250 0.5139 0.8601  1 Rh 1.78, 2 Pd 1.95-1.96
H 0.3750 0.1399 0.4861  1 Rh 1.78, 2 Pd 1.95-1.96
H 0.9990 0.4861 0.1399  1 Rh 1.78, 2 Pd 1.95-1.96
H 0.0010 0.8601 0.5139  1 Rh 1.78, 2 Pd 1.95-1.96
Pd 0.5000 0.7490 0.2510  4 H 1.95-1.96
Pd 0.5000 0.2510 0.7490  4 H 1.95-1.96
Rh 0.0000 0.5000 0.5000  4 H 1.78

Properties
Spin magnetization, μB/f.u.: 0.00
VASP energy, eV/atom: -4.8679
Symmetry: I222 (23)
Crystal system: orthorhombic

[6]
Material: FeTePb2
Method: DFT, PBE
State: optimized geometry

Unit cell a=3.2608 b=3.2608 c=9.9018 alpha=90.00 beta=90.00 gamma=95.65
With the nearest neighbours (Å) after each atom.
Fractional positions:
Fe 0.5000 0.5000 0.7500  8 Pb 2.89-3.07
Pb 0.0000 0.0000 0.9408  4 Fe 2.89-3.07
Pb 0.0000 0.0000 0.5592  4 Fe 2.89-3.07
Te 0.5000 0.5000 0.2500  4 Te 3.26

Properties
Spin magnetization, μB/f.u.: 2.39
VASP energy, eV/atom: -4.3878
Symmetry: Cmmm (65)
Crystal system: orthorhombic

[7]
Material: KNb2Ir
Method: DFT, PBE
State: optimized geometry

Unit cell a=5.1240 b=5.1240 c=9.6118 alpha=74.54 beta=74.54 gamma=90.00
With the nearest neighbours (Å) after each atom.
Fractional positions:
Nb 0.8316 0.1250 0.2500  2 Ir 2.58, 2 Nb 2.60
Nb 0.9184 0.6250 0.2500  2 Ir 2.58, 2 Nb 2.60
Nb 0.3750 0.1684 0.7500  2 Ir 2.58, 2 Nb 2.60
Nb 0.8750 0.0816 0.7500  2 Ir 2.58, 2 Nb 2.60
Ir 0.0000 0.0000 0.0000  4 Nb 2.58
Ir 0.7500 0.2500 0.5000  4 Nb 2.58
K 0.5000 0.5000 0.0000  8 Nb 3.47-3.79, 4 Ir 3.62
K 0.2500 0.7500 0.5000  8 Nb 3.47-3.79, 4 Ir 3.62

Properties
Spin magnetization, μB/f.u.: 0.00
Symmetry: I-42d (122)
Crystal system: tetragonal
Energy of formation from the pure elements, eV per atom: 1.211

[8]
Material: Ni2TeAs
Method: DFT, PBE
State: optimized geometry

Unit cell a=3.7881 b=3.7881 c=5.9158 alpha=71.33 beta=71.33 gamma=60.00
With the nearest neighbours (Å) after each atom.
Fractional positions:
Ni 0.0655 0.0655 0.8035  3 As 2.41
Ni 0.2689 0.2689 0.1932  3 As 2.46
Te 0.4953 0.4953 0.5141  6 Ni 2.70-2.81, 1 As 2.89
As 0.6702 0.6702 0.9892  6 Ni 2.41-2.46

Properties
Spin magnetization, μB/f.u.: 0.00
VASP energy, eV/atom: -4.8358
Symmetry: R3m (160)
Crystal system: trigonal

[9]
Material: FeAg2Pt2
Method: DFT, PBE
State: optimized geometry

Unit cell a=6.4261 b=6.4261 c=4.2754 alpha=90.00 beta=90.00 gamma=90.00
With the nearest neighbours (Å) after each atom.
Fractional positions:
Ag 0.1652 0.6652 0.5000  6 Pt 2.77-2.91, 1 Ag 3.00
Ag 0.6652 0.8348 0.5000  6 Pt 2.77-2.91, 1 Ag 3.00
Ag 0.8348 0.3348 0.5000  6 Pt 2.77-2.91, 1 Ag 3.00
Ag 0.3348 0.1652 0.5000  6 Pt 2.77-2.91, 1 Ag 3.00
Pt 0.3583 0.8583 0.0000  2 Fe 2.48, 1 Pt 2.57, 2 Ag 2.77
Pt 0.8583 0.6417 0.0000  2 Fe 2.48, 1 Pt 2.57, 2 Ag 2.77
Pt 0.6417 0.1417 0.0000  2 Fe 2.48, 1 Pt 2.57, 2 Ag 2.77
Pt 0.1417 0.3583 0.0000  2 Fe 2.48, 1 Pt 2.57, 2 Ag 2.77
Fe 0.0000 0.0000 0.0000  4 Pt 2.48
Fe 0.5000 0.5000 0.0000  4 Pt 2.48

Properties
Spin magnetization, μB/f.u.: 4.05
Symmetry: P4/mbm (127)
Crystal system: tetragonal
Energy of formation from the pure elements, eV per atom: 0.186

[10]
Material: VCuPt
Method: DFT, PBE
State: optimized geometry

Unit cell a=2.6344 b=4.2710 c=4.2710 alpha=120.00 beta=90.00 gamma=90.00
With the nearest neighbours (Å) after each atom.
Fractional positions:
Cu 0.4986 0.6667 0.3333  3 Pt 2.47, 2 Cu 2.63
Pt 0.5011 0.3333 0.6667  3 Cu 2.47, 2 Pt 2.63
V 0.0003 0.0000 0.0000  2 V 2.63, 6 Cu 2.79-2.80, 6 Pt 2.79-2.80

Properties
Spin magnetization, μB/f.u.: 0.00
Symmetry: P3m1 (156)
Crystal system: trigonal
Energy of formation from the pure elements, eV per atom: -0.216

[11]
Material: Dy4HoZn5
Method: DFT, PBE
State: optimized geometry

Unit cell a=3.5667 b=3.5667 c=17.8122 alpha=90.00 beta=90.00 gamma=90.00
With the nearest neighbours (Å) after each atom.
Fractional positions:
Dy 0.0000 0.0000 0.1997  8 Zn 3.09
Dy 0.0000 0.0000 0.3999  8 Zn 3.09
Dy 0.0000 0.0000 0.6001  8 Zn 3.09
Dy 0.0000 0.0000 0.8003  8 Zn 3.09
Ho 0.0000 0.0000 0.0000  8 Zn 3.08
Zn 0.5000 0.5000 0.0990  4 Ho 3.08, 4 Dy 3.09
Zn 0.5000 0.5000 0.2999  8 Dy 3.09
Zn 0.5000 0.5000 0.5000  8 Dy 3.09
Zn 0.5000 0.5000 0.7001  8 Dy 3.09
Zn 0.5000 0.5000 0.9010  4 Ho 3.08, 4 Dy 3.09

Properties
Spin magnetization, μB/f.u.: 0.00
Symmetry: P4/mmm (123)
Crystal system: tetragonal
Energy of formation from the pure elements, eV per atom: -0.340

[12]
Material: Li2Mg5Ag5
Method: DFT, PBE
State: optimized geometry

Unit cell a=3.8673 b=6.8036 c=9.1676 alpha=73.84 beta=77.82 gamma=73.49
With the nearest neighbours (Å) after each atom.
Fractional positions:
Li 0.9230 0.3978 0.7563  7 Ag 2.83-3.16, 4 Mg 2.90-2.98
Li 0.0770 0.6022 0.2437  7 Ag 2.83-3.16, 4 Mg 2.90-2.98
Mg 0.8447 0.8192 0.4915  5 Ag 2.83-3.13, 1 Li 2.90, 4 Mg 3.06-3.08
Mg 0.2527 0.7309 0.7636  6 Ag 2.87-3.08, 2 Li 2.92, 3 Mg 3.05-3.06
Mg 0.7473 0.2691 0.2364  6 Ag 2.87-3.08, 2 Li 2.92, 3 Mg 3.05-3.06
Mg 0.1553 0.1808 0.5085  5 Ag 2.83-3.13, 1 Li 2.90, 4 Mg 3.06-3.08
Mg 0.0000 0.0000 0.0000  8 Ag 2.90-2.92, 2 Li 2.98, 2 Mg 3.05
Ag 0.5000 0.5000 0.5000  6 Mg 2.83-3.08, 4 Li 2.96, 2 Ag 3.14
Ag 0.3370 0.3333 0.9927  3 Li 2.83-3.16, 5 Mg 2.87-2.91, 4 Ag 2.94-3.09
Ag 0.4107 0.9272 0.2515  7 Mg 2.86-3.13, 2 Li 2.88, 3 Ag 3.07-3.14
Ag 0.5893 0.0728 0.7485  7 Mg 2.86-3.13, 2 Li 2.88, 3 Ag 3.07-3.14
Ag 0.6630 0.6667 0.0073  3 Li 2.83-3.16, 5 Mg 2.87-2.91, 4 Ag 2.94-3.09

Properties
Spin magnetization, μB/f.u.: 0.00
Symmetry: C2/m (12)
Crystal system: monoclinic
Energy of formation from the pure elements, eV per atom: -0.200